# ZnWO4 | the Alexandria database | GGA+U | optimized geometry
# crystal system: monoclinic
# energy relative to the lowest polymorph listed for this composition: 6.2 kJ per mole of atoms
# theoretical density: 7.4 g cm⁻³
data_ZnWO4
_cell_length_a 5.661
_cell_length_b 4.768
_cell_length_c 5.652
_cell_angle_alpha 90.00
_cell_angle_beta 112.57
_cell_angle_gamma 90.00
_symmetry_space_group_name_H-M 'P 1'
_symmetry_Int_Tables_number 1
_symmetry_space_group_name_Hall 'P 1'
loop_
_atom_site_label
_atom_site_type_symbol
_atom_site_fract_x
_atom_site_fract_y
_atom_site_fract_z
Zn1 Zn 0.000 0.000 0.000
Zn2 Zn 0.000 0.500 0.500
W1 W 0.500 0.000 0.500
W2 W 0.500 0.500 0.000
O1 O 0.180 0.186 0.381
O2 O 0.180 0.314 0.881
O3 O 0.367 0.720 0.681
O4 O 0.367 0.780 0.181
O5 O 0.633 0.220 0.819
O6 O 0.633 0.280 0.319
O7 O 0.820 0.686 0.119
O8 O 0.820 0.814 0.619